The following is a PBE calculation of a relaxed Pm5Pr2Dy3 crystal, from Alexandria via LeMat-Bulk.

Unit cell a=9.6159 b=9.6159 c=9.6668 alpha=108.68 beta=108.68 gamma=110.58
Fractional coordinates of all 20 atoms:
Pm (0.0315, 0.9685, 0.7500)
Pm (0.1151, 0.3504, 0.7203)
Pm (0.2294, 0.7706, 0.7500)
Pm (0.2697, 0.7303, 0.2500)
Pm (0.3504, 0.1151, 0.2203)
Pm (0.6496, 0.8849, 0.7797)
Pm (0.7303, 0.2697, 0.7500)
Pm (0.7706, 0.2294, 0.2500)
Pm (0.8849, 0.6496, 0.2797)
Pm (0.9685, 0.0315, 0.2500)
Pr (0.2327, 0.4801, 0.4481)
Pr (0.4801, 0.2327, 0.9481)
Pr (0.5199, 0.7673, 0.0519)
Pr (0.7673, 0.5199, 0.5519)
Dy (0.0368, 0.2780, 0.0454)
Dy (0.2780, 0.0368, 0.5454)
Dy (0.4769, 0.5231, 0.2500)
Dy (0.5231, 0.4769, 0.7500)
Dy (0.7220, 0.9632, 0.4546)
Dy (0.9632, 0.7220, 0.9546)

Properties
SG	C2/c, No. 15
DFT formation energy	0.184	eV per atom

---

The following is a PBE calculation of a relaxed Ca2ScPb2 crystal, from Alexandria via LeMat-Bulk.

Unit cell a=7.8958 b=7.8958 c=4.8673 alpha=90.00 beta=90.00 gamma=90.00
Fractional coordinates of all 10 atoms:
Ca (0.1667, 0.3333, 0.0000)
Ca (0.3333, 0.8333, 0.0000)
Ca (0.6667, 0.1667, 0.0000)
Ca (0.8333, 0.6667, 0.0000)
Sc (0.0000, 0.0000, 0.5000)
Sc (0.5000, 0.5000, 0.5000)
Pb (0.1401, 0.6401, 0.5000)
Pb (0.3599, 0.1401, 0.5000)
Pb (0.6401, 0.8599, 0.5000)
Pb (0.8599, 0.3599, 0.5000)

Properties
SG	P4/mbm, No. 127
DFT formation energy	-0.417	eV per atom

---

The following is a PBE calculation of a relaxed Er2HfNpN4 crystal, from Alexandria via LeMat-Bulk.

Unit cell a=5.8297 b=3.3624 c=5.8405 alpha=90.00 beta=109.05 gamma=90.00
Fractional coordinates of all 8 atoms:
Er (0.0000, 0.0000, 0.0000)
Er (0.0000, 0.5000, 0.5000)
Hf (0.5000, 0.0000, 0.5000)
Np (0.5000, 0.5000, 0.0000)
N (0.2616, 0.0000, 0.7435)
N (0.2682, 0.5000, 0.2623)
N (0.7318, 0.5000, 0.7377)
N (0.7384, 0.0000, 0.2565)

Properties
SG	P2/m, No. 10
uncorrected energy	-78.23	eV for the cell shown

---

The following is a PBE calculation of a relaxed CoSbP2 crystal, from Alexandria via LeMat-Bulk.

Unit cell a=2.8746 b=2.9728 c=7.9560 alpha=90.00 beta=90.00 gamma=90.00
Fractional coordinates of all 4 atoms:
Co (0.0000, 0.0000, 0.0000)
Sb (0.0000, 0.0000, 0.5000)
P (0.5000, 0.5000, 0.1587)
P (0.5000, 0.5000, 0.8413)

Properties
SG	Pmmm, No. 47
uncorrected energy	-21.41	eV for the cell shown

---

The following is a PBE calculation of a relaxed CrFe2RePd crystal, from Alexandria via LeMat-Bulk.

Unit cell a=4.1087 b=4.1087 c=4.5133 alpha=90.00 beta=90.00 gamma=90.00
Fractional coordinates of all 5 atoms:
Cr (0.0000, 0.0000, 0.0000)
Fe (0.0000, 0.5000, 0.0000)
Fe (0.5000, 0.0000, 0.0000)
Re (0.5000, 0.5000, 0.5000)
Pd (0.0000, 0.0000, 0.5000)

Properties
SG	P4/mmm, No. 123
DFT formation energy	1.489	eV per atom

---

The following is a PBE calculation of a relaxed ReAs2Rh crystal, from Alexandria via LeMat-Bulk.

Unit cell a=3.0139 b=3.8930 c=5.2992 alpha=90.00 beta=90.00 gamma=90.00
Fractional coordinates of all 4 atoms:
Re (0.0000, 0.0000, 0.0000)
As (0.0000, 0.0000, 0.4788)
As (0.5000, 0.5000, 0.8412)
Rh (0.5000, 0.5000, 0.3303)

Properties
SG	Pmm2, No. 25
DFT formation energy	0.032	eV per atom

---

The following is a PBE calculation of a relaxed Ca2BeCrIn crystal, from Alexandria via LeMat-Bulk.

Unit cell a=5.9071 b=5.9071 c=5.1053 alpha=90.00 beta=90.00 gamma=90.00
Fractional coordinates of all 5 atoms:
Ca (0.0000, 0.5000, 0.0000)
Ca (0.5000, 0.0000, 0.0000)
Be (0.0000, 0.0000, 0.5000)
Cr (0.5000, 0.5000, 0.5000)
In (0.5000, 0.5000, 0.0000)

Properties
SG	P4/mmm, No. 123
DFT formation energy	0.930	eV per atom

---

The following is a PBE calculation of a relaxed Tl3Sn8Pb3 crystal, from Alexandria via LeMat-Bulk.

Unit cell a=9.3476 b=9.3476 c=5.4149 alpha=106.47 beta=106.47 gamma=79.24
Fractional coordinates of all 14 atoms:
Tl (0.0000, 0.0000, 0.0000)
Tl (0.2827, 0.2827, 0.2713)
Tl (0.7173, 0.7173, 0.7287)
Sn (0.0155, 0.2714, 0.6402)
Sn (0.1154, 0.5845, 0.8535)
Sn (0.2714, 0.0155, 0.6402)
Sn (0.4155, 0.8846, 0.1465)
Sn (0.5845, 0.1154, 0.8535)
Sn (0.7286, 0.9845, 0.3598)
Sn (0.8846, 0.4155, 0.1465)
Sn (0.9845, 0.7286, 0.3598)
Pb (0.3381, 0.6619, 0.5000)
Pb (0.5000, 0.5000, 0.0000)
Pb (0.6619, 0.3381, 0.5000)

Properties
SG	C2/m, No. 12
DFT formation energy	0.044	eV per atom

---

The following is a PBE calculation of a relaxed AcLaNiRh crystal, from Alexandria via LeMat-Bulk.

Unit cell a=4.2507 b=4.0518 c=11.4802 alpha=90.00 beta=90.00 gamma=90.00
Fractional coordinates of all 8 atoms:
Ac (0.0000, 0.0000, 0.0000)
Ac (0.0000, 0.5000, 0.5000)
La (0.5000, 0.0000, 0.7298)
La (0.5000, 0.5000, 0.2298)
Ni (0.5000, 0.0000, 0.4386)
Ni (0.5000, 0.5000, 0.9386)
Rh (0.0000, 0.0000, 0.2760)
Rh (0.0000, 0.5000, 0.7760)

Properties
SG	Amm2, No. 38
DFT formation energy	-0.514	eV per atom

---

The following is a PBE calculation of a relaxed CuAg2HgF8 crystal, from Alexandria via LeMat-Bulk.

Unit cell a=6.6886 b=6.6886 c=6.6886 alpha=129.41 beta=129.41 gamma=74.36
Fractional coordinates of all 12 atoms:
Cu (0.0000, 0.0000, 0.0000)
Ag (0.2500, 0.7500, 0.5000)
Ag (0.5000, 0.5000, 0.0000)
Hg (0.7500, 0.2500, 0.5000)
F (0.1115, 0.4376, 0.0140)
F (0.1400, 0.2749, 0.4360)
F (0.2960, 0.8600, 0.1348)
F (0.4236, 0.0974, 0.9860)
F (0.5624, 0.5764, 0.6738)
F (0.7251, 0.1611, 0.8652)
F (0.8389, 0.7040, 0.5640)
F (0.9026, 0.8885, 0.3262)

Properties
SG	I-4, No. 82
uncorrected energy	-39.94	eV for the cell shown

---

The following is a PBE calculation of a relaxed Eu3SbO crystal, from Alexandria via LeMat-Bulk.

Unit cell a=5.0051 b=5.0051 c=5.0051 alpha=90.00 beta=90.00 gamma=90.00
Fractional coordinates of all 5 atoms:
Eu (0.0000, 0.0000, 0.5000)
Eu (0.0000, 0.5000, 0.0000)
Eu (0.5000, 0.0000, 0.0000)
Sb (0.5000, 0.5000, 0.5000)
O (0.0000, 0.0000, 0.0000)

Properties
SG	Pm-3m, No. 221
uncorrected energy	-48.07	eV for the cell shown

---

The following is a PBE calculation of a relaxed Ca2TlZnRu crystal, from Alexandria via LeMat-Bulk.

Unit cell a=5.4942 b=5.4942 c=4.8893 alpha=90.00 beta=90.00 gamma=90.00
Fractional coordinates of all 5 atoms:
Ca (0.0000, 0.5000, 0.0000)
Ca (0.5000, 0.0000, 0.0000)
Tl (0.0000, 0.0000, 0.5000)
Zn (0.0000, 0.0000, 0.0000)
Ru (0.5000, 0.5000, 0.5000)

Properties
SG	P4/mmm, No. 123
DFT formation energy	0.754	eV per atom

---

The following is a PBE calculation of a relaxed Co2AgSb2 crystal, from Alexandria via LeMat-Bulk.

Unit cell a=7.1755 b=7.1755 c=3.2543 alpha=90.00 beta=90.00 gamma=90.00
Fractional coordinates of all 10 atoms:
Co (0.1323, 0.3677, 0.0000)
Co (0.3677, 0.8677, 0.0000)
Co (0.6323, 0.1323, 0.0000)
Co (0.8677, 0.6323, 0.0000)
Ag (0.0000, 0.0000, 0.0000)
Ag (0.5000, 0.5000, 0.0000)
Sb (0.1611, 0.6611, 0.5000)
Sb (0.3389, 0.1611, 0.5000)
Sb (0.6611, 0.8389, 0.5000)
Sb (0.8389, 0.3389, 0.5000)

Properties
SG	P4/mbm, No. 127
uncorrected energy	-49.27	eV for the cell shown

---

The following is a PBE calculation of a relaxed Fe5P crystal, from Alexandria via LeMat-Bulk.

Unit cell a=4.5355 b=4.5355 c=4.2393 alpha=90.00 beta=90.00 gamma=120.00
Fractional coordinates of all 6 atoms:
Fe (0.0000, 0.5000, 0.0000)
Fe (0.3333, 0.6667, 0.5000)
Fe (0.5000, 0.0000, 0.0000)
Fe (0.5000, 0.5000, 0.0000)
Fe (0.6667, 0.3333, 0.5000)
P (0.0000, 0.0000, 0.5000)

Properties
SG	P6/mmm, No. 191
DFT formation energy	0.448	eV per atom

---

The following is a PBE calculation of a relaxed NaHoSn crystal, from Alexandria via LeMat-Bulk.

Unit cell a=9.3392 b=9.3392 c=9.3392 alpha=31.82 beta=31.82 gamma=31.82
Fractional coordinates of all 6 atoms:
Na (0.1287, 0.1287, 0.1287)
Na (0.8713, 0.8713, 0.8713)
Ho (0.2904, 0.2904, 0.2904)
Ho (0.7096, 0.7096, 0.7096)
Sn (0.4100, 0.4100, 0.4100)
Sn (0.5900, 0.5900, 0.5900)

Properties
SG	R-3m, No. 166
DFT formation energy	-0.233	eV per atom

---

The following is a PBE calculation of a relaxed Y2Ni2Mo crystal, from Alexandria via LeMat-Bulk.

Unit cell a=6.5898 b=6.5898 c=4.3793 alpha=90.00 beta=90.00 gamma=90.00
Fractional coordinates of all 10 atoms:
Y (0.1789, 0.3211, 0.0000)
Y (0.3211, 0.8211, 0.0000)
Y (0.6789, 0.1789, 0.0000)
Y (0.8211, 0.6789, 0.0000)
Ni (0.1310, 0.6310, 0.5000)
Ni (0.3690, 0.1310, 0.5000)
Ni (0.6310, 0.8690, 0.5000)
Ni (0.8690, 0.3690, 0.5000)
Mo (0.0000, 0.0000, 0.5000)
Mo (0.5000, 0.5000, 0.5000)

Properties
SG	P4/mbm, No. 127
DFT formation energy	-0.066	eV per atom

---

The following is a PBE calculation of a relaxed MnGaSn2S5 crystal, from Alexandria via LeMat-Bulk.

Unit cell a=9.4887 b=9.4887 c=12.1829 alpha=90.00 beta=90.00 gamma=157.90
Fractional coordinates of all 18 atoms:
Mn (0.2179, 0.7821, 0.5000)
Mn (0.7821, 0.2179, 0.0000)
Ga (0.4360, 0.5640, 0.9349)
Ga (0.5640, 0.4360, 0.4349)
Sn (0.0991, 0.9009, 0.7640)
Sn (0.1335, 0.8665, 0.1230)
Sn (0.8665, 0.1335, 0.6230)
Sn (0.9009, 0.0991, 0.2640)
S (0.0355, 0.9645, 0.5422)
S (0.2819, 0.7181, 0.1292)
S (0.3170, 0.6830, 0.8799)
S (0.3491, 0.6509, 0.4700)
S (0.4950, 0.5050, 0.7699)
S (0.5050, 0.4950, 0.2699)
S (0.6509, 0.3491, 0.9700)
S (0.6830, 0.3170, 0.3799)
S (0.7181, 0.2819, 0.6292)
S (0.9645, 0.0355, 0.0422)

Properties
SG	Cmc2_1, No. 36
uncorrected energy	-90.81	eV for the cell shown

---

The following is a PBE calculation of a relaxed Mo3P crystal, from Alexandria via LeMat-Bulk.

Unit cell a=2.9752 b=2.9752 c=23.9740 alpha=90.00 beta=90.00 gamma=120.00
Fractional coordinates of all 12 atoms:
Mo (0.0000, 0.0000, 0.0000)
Mo (0.0000, 0.0000, 0.2426)
Mo (0.0000, 0.0000, 0.7574)
Mo (0.3333, 0.6667, 0.4241)
Mo (0.3333, 0.6667, 0.6667)
Mo (0.3333, 0.6667, 0.9093)
Mo (0.6667, 0.3333, 0.0907)
Mo (0.6667, 0.3333, 0.3333)
Mo (0.6667, 0.3333, 0.5759)
P (0.0000, 0.0000, 0.5000)
P (0.3333, 0.6667, 0.1667)
P (0.6667, 0.3333, 0.8333)

Properties
SG	R-3m, No. 166
DFT formation energy	0.116	eV per atom

---

The following is a PBE calculation of a relaxed Y2ZrH crystal, from Alexandria via LeMat-Bulk.

Unit cell a=6.9996 b=6.9996 c=7.3231 alpha=90.00 beta=90.00 gamma=90.00
Fractional coordinates of all 16 atoms:
Y (0.1300, 0.7500, 0.1250)
Y (0.2500, 0.1300, 0.8750)
Y (0.2500, 0.3700, 0.3750)
Y (0.3700, 0.7500, 0.6250)
Y (0.6300, 0.2500, 0.6250)
Y (0.7500, 0.6300, 0.3750)
Y (0.7500, 0.8700, 0.8750)
Y (0.8700, 0.2500, 0.1250)
Zr (0.0000, 0.0000, 0.5000)
Zr (0.0000, 0.5000, 0.7500)
Zr (0.5000, 0.0000, 0.2500)
Zr (0.5000, 0.5000, 0.0000)
H (0.0000, 0.0000, 0.0000)
H (0.0000, 0.5000, 0.2500)
H (0.5000, 0.0000, 0.7500)
H (0.5000, 0.5000, 0.5000)

Properties
SG	I-42d, No. 122
uncorrected energy	-99.16	eV for the cell shown

---

The following is a PBE calculation of a relaxed CaEr2Tl3Se6 crystal, from Alexandria via LeMat-Bulk.

Unit cell a=7.3058 b=7.3058 c=7.8741 alpha=98.89 beta=98.89 gamma=120.01
Fractional coordinates of all 12 atoms:
Ca (0.0000, 0.0000, 0.0000)
Er (0.3325, 0.6675, 0.0000)
Er (0.6675, 0.3325, 0.0000)
Tl (0.1642, 0.8358, 0.5000)
Tl (0.5000, 0.5000, 0.5000)
Tl (0.8358, 0.1642, 0.5000)
Se (0.0704, 0.4160, 0.2105)
Se (0.2768, 0.2768, 0.7933)
Se (0.4160, 0.0704, 0.2105)
Se (0.5840, 0.9296, 0.7895)
Se (0.7232, 0.7232, 0.2067)
Se (0.9296, 0.5840, 0.7895)

Properties
SG	C2/m, No. 12
uncorrected energy	-54.43	eV for the cell shown

---

The following is a PBE calculation of a relaxed NaMgSbO3 crystal, from Alexandria via LeMat-Bulk.

Unit cell a=6.5270 b=3.2817 c=8.6596 alpha=90.00 beta=97.17 gamma=90.00
Fractional coordinates of all 12 atoms:
Na (0.1116, 0.2500, 0.3799)
Na (0.8884, 0.7500, 0.6201)
Mg (0.4490, 0.7500, 0.6222)
Mg (0.5510, 0.2500, 0.3778)
Sb (0.2547, 0.2500, 0.9013)
Sb (0.7453, 0.7500, 0.0987)
O (0.1775, 0.2500, 0.6773)
O (0.3680, 0.7500, 0.3873)
O (0.4400, 0.7500, 0.8762)
O (0.5600, 0.2500, 0.1238)
O (0.6320, 0.2500, 0.6127)
O (0.8225, 0.7500, 0.3227)

Properties
SG	P2_1/m, No. 11
uncorrected energy	-64.39	eV for the cell shown

---

The following is a PBE calculation of a relaxed GaHgAuO2 crystal, from Alexandria via LeMat-Bulk.

Unit cell a=4.0625 b=4.0625 c=6.2009 alpha=90.00 beta=90.00 gamma=90.00
Fractional coordinates of all 5 atoms:
Ga (0.0000, 0.0000, 0.0000)
Hg (0.0000, 0.0000, 0.5000)
Au (0.5000, 0.5000, 0.0000)
O (0.0000, 0.5000, 0.5000)
O (0.5000, 0.0000, 0.5000)

Properties
SG	P4/mmm, No. 123
uncorrected energy	-13.85	eV for the cell shown

---

The following is a PBE calculation of a relaxed Rb2CeBi2O6 crystal, from Alexandria via LeMat-Bulk.

Unit cell a=6.0019 b=6.0019 c=7.6185 alpha=107.90 beta=107.90 gamma=65.66
Fractional coordinates of all 11 atoms:
Rb (0.2010, 0.2010, 0.1391)
Rb (0.7990, 0.7990, 0.8609)
Ce (0.0000, 0.0000, 0.5000)
Bi (0.4127, 0.4127, 0.7527)
Bi (0.5873, 0.5873, 0.2473)
O (0.2092, 0.7111, 0.2689)
O (0.2248, 0.2248, 0.5143)
O (0.2889, 0.7908, 0.7311)
O (0.7111, 0.2092, 0.2689)
O (0.7752, 0.7752, 0.4857)
O (0.7908, 0.2889, 0.7311)

Properties
SG	C2/m, No. 12
uncorrected energy	-64.99	eV for the cell shown

---

The following is a PBE calculation of a relaxed Pr5DyMg6 crystal, from Alexandria via LeMat-Bulk.

Unit cell a=8.7005 b=8.7005 c=7.7976 alpha=90.00 beta=90.00 gamma=143.16
Fractional coordinates of all 12 atoms:
Pr (0.0000, 0.0000, 0.0000)
Pr (0.3316, 0.6684, 0.0000)
Pr (0.3352, 0.6648, 0.5000)
Pr (0.6648, 0.3352, 0.5000)
Pr (0.6684, 0.3316, 0.0000)
Dy (0.0000, 0.0000, 0.5000)
Mg (0.1646, 0.8354, 0.2547)
Mg (0.1646, 0.8354, 0.7453)
Mg (0.5000, 0.5000, 0.2537)
Mg (0.5000, 0.5000, 0.7463)
Mg (0.8354, 0.1646, 0.2547)
Mg (0.8354, 0.1646, 0.7453)

Properties
SG	Cmmm, No. 65
DFT formation energy	-0.110	eV per atom